TbLuSb | the Alexandria database | PBE | relaxed; total DFT energy (no corrections) = -4.833 eV/atom; space group = No. 156; energy relative to the elements, uncorrected = -1.23 eV per formula unit; spin magnetization = 0.00 μB per cell
1.0
5.012 0.000 0.000
-2.506 4.340 0.000
0.000 0.000 3.960
Tb Lu Sb
1 1 1
Direct
0.000 0.000 0.000
0.667 0.333 0.529
0.333 0.667 0.339

CrTeRh2 | the Alexandria database | PBE | relaxed; total DFT energy (no corrections) = -6.843 eV/atom; space group = No. 8; energy relative to the elements, uncorrected = 0.10 eV per formula unit; spin magnetization = 6.30 μB per cell
1.0
8.904 0.000 0.000
0.000 3.616 0.000
-1.296 0.000 4.059
Cr Te Rh
2 2 4
Direct
0.000 0.000 0.000
0.500 0.500 0.000
0.234 0.000 0.652
0.734 0.500 0.652
0.237 0.500 0.133
0.497 0.000 0.491
0.737 0.000 0.133
0.997 0.500 0.491